{"formula": "Fe2TcPd", "functional": "PBE", "state": "relaxed", "delta_e_f_ev_per_atom": 0.2951, "energy_ha_per_atom": -0.285, "crystal_system": "cubic", "total_magnetization_mub_per_cell": 4.64, "space_group": "F-43m (216)", "cell": [[0.000, 3.008, 3.008], [3.008, 0.000, 3.008], [3.008, 3.008, 0.000]], "species": ["Fe", "Fe", "Pd", "Tc"], "frac_coords": [[0.250, 0.250, 0.250], [0.500, 0.500, 0.500], [0.750, 0.750, 0.750], [0.000, 0.000, 0.000]]}